VASP calculation (PBE-GGA) on crystalline NdHoAg2 at its relaxed geometry.

Calculated values
M_tot = 0.11 μB/cell
Total DFT energy (no corrections) = -4.052 eV/atom

a = 3.633 Å, b = 3.633 Å, c = 7.475 Å
α = 90.00°, β = 90.00°, γ = 90.00°
Fractional coordinates of all 4 atoms:
Nd1 0.000 0.000 0.000
Ho1 0.000 0.000 0.500
Ag1 0.500 0.500 0.271
Ag2 0.500 0.500 0.729